Record 1
Density functional theory data (PBE) for crystalline MgUGaSn at its relaxed geometry.

Summary:
Space-group type   F-43m, No. 216
DFT formation energy   0.02 eV per atom

POSCAR file:
```
MgUGaSn
1.0
0.000 3.576 3.576
3.576 0.000 3.576
3.576 3.576 0.000
Mg U Ga Sn
1 1 1 1
direct
0.000 0.000 0.000
0.500 0.500 0.500
0.250 0.250 0.250
0.750 0.750 0.750
```

Record 2
Density functional theory data (PBE) for crystalline Fe5Co4 at its relaxed geometry.

Summary:
Energy above the lowest structure with this stoichiometry   147 meV per atom
Space-group type   P6_3/mcm, No. 193
DFT formation energy   0.12 eV per atom

POSCAR file:
```
Fe5Co4
1.0
7.098 0.000 0.000
-3.549 6.147 0.000
0.000 0.000 4.816
Fe Co
10 8
direct
0.000 0.305 0.250
0.000 0.695 0.750
0.305 0.000 0.250
0.305 0.305 0.750
0.333 0.667 0.000
0.333 0.667 0.500
0.667 0.333 0.000
0.667 0.333 0.500
0.695 0.000 0.750
0.695 0.695 0.250
0.000 0.000 0.000
0.000 0.000 0.500
0.000 0.363 0.750
0.000 0.637 0.250
0.363 0.000 0.750
0.363 0.363 0.250
0.637 0.000 0.250
0.637 0.637 0.750
```

Record 3
Density functional theory data (PBE) for crystalline Li2MgCd at its relaxed geometry.

Summary:
Energy above the lowest structure with this stoichiometry   46 meV per atom
Space-group type   P2/m, No. 10
DFT formation energy   -0.13 eV per atom

POSCAR file:
```
Li2MgCd
1.0
3.021 0.000 0.000
0.000 4.773 0.000
-0.951 0.000 5.490
Li Mg Cd
2 1 1
direct
0.244 0.000 0.260
0.756 0.000 0.740
0.500 0.500 0.000
0.000 0.500 0.500
```

Record 4
Density functional theory data (PBE) for crystalline Cd4FeOs at its relaxed geometry.

Summary:
Space-group type   F-43m, No. 216
DFT formation energy   0.82 eV per atom

POSCAR file:
```
Cd4FeOs
1.0
0.000 3.843 3.843
3.843 0.000 3.843
3.843 3.843 0.000
Cd Fe Os
4 1 1
direct
0.125 0.125 0.125
0.125 0.125 0.625
0.125 0.625 0.125
0.625 0.125 0.125
0.750 0.750 0.750
0.500 0.500 0.500
```

Record 5
Density functional theory data (PBE) for crystalline IrAuCl at its relaxed geometry.

Summary:
Energy above the lowest structure with this stoichiometry   328 meV per atom
Uncorrected formation energy   0.85 eV per atom
Space-group type   P-6m2, No. 187

POSCAR file:
```
IrAuCl
1.0
4.445 0.000 0.000
-2.223 3.850 0.000
0.000 0.000 2.974
Ir Au Cl
1 1 1
direct
0.000 0.000 0.000
0.667 0.333 0.500
0.333 0.667 0.000
```

Record 6
Density functional theory data (PBE) for crystalline KSrPb2 at its relaxed geometry.

Summary:
Energy above the lowest structure with this stoichiometry   329 meV per atom
Space-group type   I-42d, No. 122
DFT formation energy   0.02 eV per atom

POSCAR file:
```
KSrPb2
1.0
-4.744 4.744 3.437
4.744 -4.744 3.437
4.744 4.744 -3.437
K Sr Pb
2 2 4
direct
0.000 0.000 0.000
0.750 0.250 0.500
0.250 0.750 0.500
0.500 0.500 0.000
0.128 0.625 0.003
0.375 0.378 0.503
0.622 0.125 0.997
0.875 0.872 0.497
```

Record 7
Density functional theory data (PBE) for crystalline TeP2Cl at its relaxed geometry.

Summary:
Energy above the lowest structure with this stoichiometry   593 meV per atom
Uncorrected formation energy   0.50 eV per atom
Space-group type   R-3m, No. 166

POSCAR file:
```
TeP2Cl
1.0
1.937 1.119 6.803
-1.937 1.119 6.803
0.000 -2.237 6.803
Te P Cl
1 2 1
direct
0.000 0.000 0.000
0.256 0.256 0.256
0.744 0.744 0.744
0.500 0.500 0.500
```

Record 8
Density functional theory data (PBE) for crystalline AlVRe2P at its relaxed geometry.

Summary:
Space-group type   P4/mmm, No. 123
DFT formation energy   1.28 eV per atom

POSCAR file:
```
AlVRe2P
1.0
4.596 0.000 0.000
0.000 4.596 0.000
0.000 0.000 4.224
Al V Re P
1 1 2 1
direct
0.000 0.000 0.000
0.500 0.500 0.500
0.000 0.500 0.500
0.500 0.000 0.500
0.500 0.500 0.000
```